No. 1
# RbCo6Se8, relaxed, DFT PBE
# - formation energy (no corrections) (eV per atom) = -0.260
# - M_tot (μB/f.u.) = 9.03
data_RbCo6Se8
_cell_length_a 9.5979
_cell_length_b 9.5979
_cell_length_c 12.1193
_cell_angle_alpha 90.00
_cell_angle_beta 90.00
_cell_angle_gamma 120.00
_symmetry_space_group_name_H-M 'R -3'
_symmetry_Int_Tables_number 148
_symmetry_space_group_name_Hall '-R 3'
loop_
_atom_site_label
_atom_site_type_symbol
_atom_site_fract_x
_atom_site_fract_y
_atom_site_fract_z
Rb1 Rb 0.0000 0.0000 0.0000
Co1 Co 0.0080 0.8449 0.4106
Se1 Se 0.0000 0.0000 0.2654
Se2 Se 0.0160 0.7218 0.5802

No. 2
# RbCoSe3, relaxed, DFT PBE
# - formation energy (no corrections) (eV per atom) = -0.154
# - M_tot (μB/f.u.) = 2.18
data_RbCoSe3
_cell_length_a 4.9309
_cell_length_b 4.9309
_cell_length_c 4.9309
_cell_angle_alpha 90.00
_cell_angle_beta 90.00
_cell_angle_gamma 90.00
_symmetry_space_group_name_H-M 'P m -3 m'
_symmetry_Int_Tables_number 221
_symmetry_space_group_name_Hall '-P 4 2 3'
loop_
_atom_site_label
_atom_site_type_symbol
_atom_site_fract_x
_atom_site_fract_y
_atom_site_fract_z
Rb1 Rb 0.0000 0.0000 0.0000
Co1 Co 0.5000 0.5000 0.5000
Se1 Se 0.0000 0.5000 0.5000

No. 3
# Rb4Co2Se, relaxed, DFT PBE
# - formation energy (no corrections) (eV per atom) = 0.343
# - M_tot (μB/f.u.) = 4.12
data_Rb4Co2Se
_cell_length_a 6.9085
_cell_length_b 6.9085
_cell_length_c 16.0060
_cell_angle_alpha 90.00
_cell_angle_beta 90.00
_cell_angle_gamma 90.00
_symmetry_space_group_name_H-M 'I 4/m m m'
_symmetry_Int_Tables_number 139
_symmetry_space_group_name_Hall '-I 4 2'
loop_
_atom_site_label
_atom_site_type_symbol
_atom_site_fract_x
_atom_site_fract_y
_atom_site_fract_z
Rb1 Rb 0.0000 0.0000 0.1998
Rb2 Rb 0.0000 0.5000 0.0000
Co1 Co 0.0000 0.0000 0.4361
Se1 Se 0.0000 0.0000 0.0000